1.
First-principles (GGA+U) data for a geometry-optimized Er2BiWO8 structure, as listed in the Alexandria database.

## Properties
The space group is Cmmm. The value obtained for the total energy is -7.4251 eV per atom.

Cell: 5.013 5.011 6.810 Å, 90.00 90.00 91.74°
Atoms (fractional coordinates):
W 0.000 0.000 0.000
O 0.689 0.690 0.500
O 0.184 0.815 0.785
O 0.311 0.310 0.500
O 0.720 0.721 0.000
O 0.280 0.279 0.000
O 0.816 0.185 0.785
O 0.816 0.185 0.215
O 0.184 0.815 0.215
Er 0.500 0.500 0.242
Er 0.500 0.500 0.758
Bi 0.000 0.000 0.500

***

2.
First-principles (GGA+U) data for a geometry-optimized ErBiWO6 structure, as listed in the Alexandria database.

## Properties
The space group is P-31c. The value obtained for the total energy is -7.3072 eV per atom.

Cell: 5.574 5.574 9.681 Å, 90.00 90.00 120.00°
Atoms (fractional coordinates):
O 0.037 0.377 0.638
O 0.377 0.037 0.138
O 0.377 0.340 0.362
O 0.340 0.963 0.638
O 0.963 0.340 0.138
O 0.660 0.037 0.362
O 0.340 0.377 0.862
O 0.963 0.623 0.362
O 0.660 0.623 0.138
O 0.037 0.660 0.862
O 0.623 0.963 0.862
O 0.623 0.660 0.638
Er 0.333 0.667 0.250
Er 0.667 0.333 0.750
Bi 0.000 0.000 0.500
Bi 0.000 0.000 0.000
W 0.333 0.667 0.750
W 0.667 0.333 0.250

***

3.
First-principles (GGA+U) data for a geometry-optimized ErBi2WO8 structure, as listed in the Alexandria database.

## Properties
The space group is Cmmm. The value obtained for the total energy is -6.8425 eV per atom.

Cell: 5.149 5.144 6.787 Å, 90.00 90.00 90.05°
Atoms (fractional coordinates):
O 0.307 0.306 0.500
O 0.268 0.267 0.000
O 0.693 0.694 0.500
O 0.178 0.821 0.781
O 0.822 0.179 0.781
O 0.822 0.179 0.219
O 0.732 0.733 0.000
O 0.178 0.821 0.219
Bi 0.500 0.500 0.247
Bi 0.500 0.500 0.753
Er 0.000 0.000 0.500
W 0.000 0.000 0.000

***

The records above yield V values of 14.25 14.47 14.98 A^3/atom, respectively.